A relaxed KSrRuW2 crystal. Source: Alexandria, functional GGA-PBE.

Formation energy   7.03 eV per formula unit
DFT total energy   -6.187 eV/atom
Theoretical density   7252 kg/m3
M_tot   0.0 μB/cell

Cell lengths 4.8187, 4.8187, 5.8722 Å; angles 90.00, 90.00, 90.00 degrees
Element x y z (fractional)
K  0.0000  0.0000  0.0000
Sr  0.5000  0.5000  0.0000
Ru  0.5000  0.5000  0.5000
W  0.0000  0.5000  0.5000
W  0.5000  0.0000  0.5000

---

A relaxed La3RuAu crystal. Source: Alexandria, functional GGA-PBE.

Formation energy   -2.32 eV per formula unit
DFT total energy   -5.931 eV/atom
Theoretical density   8313 kg/m3
M_tot   0.0 μB/cell

Cell lengths 5.7461, 7.2776, 7.1576 Å; angles 90.00, 107.44, 90.00 degrees
Element x y z (fractional)
La  0.1284  0.2500  0.1077
La  0.3153  0.0111  0.6926
La  0.3153  0.4889  0.6926
La  0.6847  0.5111  0.3074
La  0.6847  0.9889  0.3074
La  0.8716  0.7500  0.8923
Ru  0.3543  0.7500  0.9813
Ru  0.6457  0.2500  0.0187
Au  0.1903  0.7500  0.3288
Au  0.8097  0.2500  0.6712

---

A relaxed TbCeH8Rh2 crystal. Source: Alexandria, functional GGA-PBE.

DFT total energy   -4.637 eV/atom
Theoretical density   7007 kg/m3
M_tot   0.5 μB/cell

Cell lengths 6.5627, 6.5627, 6.5627 Å; angles 43.51, 43.51, 43.51 degrees
Element x y z (fractional)
Tb  0.0000  0.0000  0.0000
Ce  0.5000  0.5000  0.5000
H  0.1146  0.4612  0.5996
H  0.1729  0.1729  0.1729
H  0.4004  0.8854  0.5388
H  0.4612  0.5996  0.1146
H  0.5388  0.4004  0.8854
H  0.5996  0.1146  0.4612
H  0.8271  0.8271  0.8271
H  0.8854  0.5388  0.4004
Rh  0.2640  0.2640  0.2640
Rh  0.7360  0.7360  0.7360

---

A relaxed PmZn2Ga4Ni crystal. Source: Alexandria, functional GGA-PBE.

Formation energy   -2.27 eV per formula unit
DFT total energy   -3.433 eV/atom
Theoretical density   7238 kg/m3
M_tot   0.0 μB/cell

Cell lengths 9.1389, 9.1389, 9.1389 Å; angles 27.20, 27.20, 27.20 degrees
Element x y z (fractional)
Pm  0.0000  0.0000  0.0000
Zn  0.2541  0.2541  0.2541
Zn  0.7459  0.7459  0.7459
Ga  0.1367  0.1367  0.1367
Ga  0.4040  0.4040  0.4040
Ga  0.5960  0.5960  0.5960
Ga  0.8633  0.8633  0.8633
Ni  0.5000  0.5000  0.5000

---

A relaxed Tl5SeI2Cl crystal. Source: Alexandria, functional GGA-PBE.

Formation energy (no corrections)   -5.56 eV/f.u.
DFT total energy   -2.869 eV/atom
Theoretical density   6540 kg/m3
M_tot   0.0 μB/cell

Cell lengths 10.6645, 10.6645, 14.3563 Å; angles 90.00, 90.00, 154.38 degrees
Element x y z (fractional)
Tl  0.0050  0.9950  0.5000
Tl  0.1309  0.8691  0.7462
Tl  0.2006  0.7994  0.1222
Tl  0.2293  0.7707  0.4110
Tl  0.4216  0.5784  0.8112
Tl  0.5784  0.4216  0.3112
Tl  0.7707  0.2293  0.9110
Tl  0.7994  0.2006  0.6222
Tl  0.8691  0.1309  0.2462
Tl  0.9950  0.0050  0.0000
Se  0.2793  0.7207  0.7647
Se  0.7207  0.2793  0.2647
I  0.3736  0.6264  0.0633
I  0.3925  0.6075  0.4324
I  0.6075  0.3925  0.9324
I  0.6264  0.3736  0.5633
Cl  0.0497  0.9503  0.1873
Cl  0.9503  0.0497  0.6873

---

A relaxed TlRuPt crystal. Source: Alexandria, functional GGA-PBE.

Formation energy   1.14 eV per formula unit
DFT total energy   -5.516 eV/atom
Theoretical density   15791 kg/m3
M_tot   1.9 μB/cell

Cell lengths 2.9786, 2.9786, 11.8653 Å; angles 90.00, 90.00, 90.00 degrees
Element x y z (fractional)
Tl  0.0000  0.0000  0.0000
Tl  0.5000  0.5000  0.5000
Ru  0.0000  0.0000  0.6718
Ru  0.5000  0.5000  0.1718
Pt  0.0000  0.0000  0.3164
Pt  0.5000  0.5000  0.8164

---

A relaxed FeGe2Te crystal. Source: Alexandria, functional GGA-PBE.

Formation energy (no corrections)   1.50 eV/f.u.
DFT total energy   -4.836 eV/atom
Theoretical density   5385 kg/m3
M_tot   6.9 μB/cell

Cell lengths 5.7977, 5.7977, 12.0633 Å; angles 90.00, 90.00, 90.00 degrees
Element x y z (fractional)
Fe  0.0000  0.0000  0.0000
Fe  0.0000  0.5000  0.2500
Fe  0.5000  0.0000  0.7500
Fe  0.5000  0.5000  0.5000
Ge  0.1716  0.2500  0.1250
Ge  0.2500  0.6716  0.3750
Ge  0.2500  0.8284  0.8750
Ge  0.3284  0.2500  0.6250
Ge  0.6716  0.7500  0.6250
Ge  0.7500  0.1716  0.8750
Ge  0.7500  0.3284  0.3750
Ge  0.8284  0.7500  0.1250
Te  0.0000  0.0000  0.5000
Te  0.0000  0.5000  0.7500
Te  0.5000  0.0000  0.2500
Te  0.5000  0.5000  0.0000

---

A relaxed AcPrGdTm crystal. Source: Alexandria, functional GGA-PBE.

Formation energy   0.59 eV per formula unit
DFT total energy   -6.711 eV/atom
Theoretical density   7989 kg/m3
M_tot   35.6 μB/cell

Cell lengths 8.3254, 8.3254, 8.3254 Å; angles 90.00, 90.00, 90.00 degrees
Element x y z (fractional)
Ac  0.0000  0.0000  0.0000
Ac  0.0000  0.5000  0.5000
Ac  0.5000  0.0000  0.5000
Ac  0.5000  0.5000  0.0000
Pr  0.2500  0.2500  0.7500
Pr  0.2500  0.7500  0.2500
Pr  0.7500  0.2500  0.2500
Pr  0.7500  0.7500  0.7500
Gd  0.2500  0.2500  0.2500
Gd  0.2500  0.7500  0.7500
Gd  0.7500  0.2500  0.7500
Gd  0.7500  0.7500  0.2500
Tm  0.0000  0.0000  0.5000
Tm  0.0000  0.5000  0.0000
Tm  0.5000  0.0000  0.0000
Tm  0.5000  0.5000  0.5000